1.
{
  "formula": "In12Bi3Pb",
  "functional": "PBE",
  "state": "optimized geometry",
  "cell": [[4.930, 0.000, 0.000], [0.000, 4.930, 0.000], [0.000, 0.000, 19.040]],
  "species": ["In", "In", "In", "In", "In", "In", "In", "In", "In", "In", "In", "In", "Bi", "Bi", "Bi", "Pb"],
  "fractional_positions": [[0.000, 0.000, 0.000], [0.000, 0.000, 0.249], [0.000, 0.000, 0.500], [0.000, 0.000, 0.751], [0.000, 0.500, 0.125], [0.000, 0.500, 0.374], [0.000, 0.500, 0.626], [0.000, 0.500, 0.875], [0.500, 0.000, 0.125], [0.500, 0.000, 0.374], [0.500, 0.000, 0.626], [0.500, 0.000, 0.875], [0.500, 0.500, 0.248], [0.500, 0.500, 0.500], [0.500, 0.500, 0.752], [0.500, 0.500, 0.000]],
  "energy_ev_per_cell": -47.9,
  "n_ef_per_ev_cell": 10.27,
  "delta_e_f_ev_per_atom": 0.023,
  "spacegroup": "P4/mmm, No. 123"
}

---

2.
{
  "formula": "In2BiPb12",
  "functional": "PBE",
  "state": "optimized geometry",
  "cell": [[6.614, 0.000, 0.000], [0.000, 6.614, 0.000], [0.000, 0.000, 23.575]],
  "species": ["In", "In", "In", "In", "Bi", "Bi", "Pb", "Pb", "Pb", "Pb", "Pb", "Pb", "Pb", "Pb", "Pb", "Pb", "Pb", "Pb", "Pb", "Pb", "Pb", "Pb", "Pb", "Pb", "Pb", "Pb", "Pb", "Pb", "Pb", "Pb"],
  "fractional_positions": [[0.250, 0.750, 0.228], [0.250, 0.750, 0.772], [0.750, 0.250, 0.228], [0.750, 0.250, 0.772], [0.250, 0.750, 0.500], [0.750, 0.250, 0.500], [0.001, 0.501, 0.398], [0.001, 0.999, 0.602], [0.065, 0.565, 0.066], [0.065, 0.935, 0.934], [0.250, 0.250, 0.163], [0.250, 0.250, 0.297], [0.250, 0.250, 0.703], [0.250, 0.250, 0.837], [0.435, 0.565, 0.934], [0.435, 0.935, 0.066], [0.499, 0.501, 0.602], [0.499, 0.999, 0.398], [0.501, 0.001, 0.602], [0.501, 0.499, 0.398], [0.565, 0.065, 0.934], [0.565, 0.435, 0.066], [0.750, 0.750, 0.163], [0.750, 0.750, 0.297], [0.750, 0.750, 0.703], [0.750, 0.750, 0.837], [0.935, 0.065, 0.066], [0.935, 0.435, 0.934], [0.999, 0.001, 0.398], [0.999, 0.499, 0.602]],
  "energy_ev_per_cell": -104.2,
  "n_ef_per_ev_cell": 13.40,
  "delta_e_f_ev_per_atom": 0.118,
  "spacegroup": "P4/nbm, No. 125"
}

---

3.
{
  "formula": "In2Bi2Pb3",
  "functional": "PBE",
  "state": "optimized geometry",
  "cell": [[7.374, -2.058, 0.000], [7.374, 2.058, 0.000], [-3.738, 0.000, 7.506]],
  "species": ["In", "In", "Bi", "Bi", "Pb", "Pb", "Pb"],
  "fractional_positions": [[0.167, 0.167, 0.348], [0.833, 0.833, 0.652], [0.471, 0.471, 0.165], [0.529, 0.529, 0.835], [0.000, 0.000, 0.500], [0.231, 0.231, 0.822], [0.769, 0.769, 0.178]],
  "energy_ev_per_cell": -23.7,
  "relative_energy_ev_per_atom": 0.0381,
  "n_ef_per_ev_cell": 2.89,
  "delta_e_f_ev_per_atom": 0.092,
  "spacegroup": "C2/m, No. 12"
}